(1)
The following is a DFT calculation (SCAN) of a PBEsol-optimized structure of YCoBiH2.

Output
The calculation puts the density of states at the Fermi level at 0.376 states/eV/atom. Its mass density is 7.4 g/cm3. As for the calculated total energy: -25.633 eV per atom.

a = 4.0229 Å, b = 4.0229 Å, c = 4.9956 Å
α = 90.00°, β = 90.00°, γ = 90.00°
Closest atoms and distances in Å follow each position.
Sites, in units of the cell vectors:
Bi: 0.0000 0.0000 0.0000  4 H 2.01
H: 0.0000 0.5000 0.0000  2 Bi 2.01
Co: 0.0000 0.0000 0.5000  2 Bi 2.50
H: 0.5000 0.0000 0.0000  2 Bi 2.01
Y: 0.5000 0.5000 0.5000  4 Co 2.84

(2)
The following is a DFT calculation (SCAN) of a PBEsol-optimized structure of Hf2Co2Bi.

Output
The calculation puts the density of states at the Fermi level at 0.650 states/eV/atom. Its formation enthalpy at 0 K is -0.019 eV per atom. Its mass density is 12.4 g/cm3.

a = 4.2716 Å, b = 4.2716 Å, c = 5.8442 Å
α = 111.44°, β = 111.44°, γ = 90.00°
Closest atoms and distances in Å follow each position.
Sites, in units of the cell vectors:
Hf: 0.7500 0.2500 0.5000  4 Co 2.55
Co: 0.6115 0.6115 0.2230  1 Co 2.23
Co: 0.3885 0.3885 0.7770  1 Co 2.23
Hf: 0.2500 0.7500 0.5000  4 Co 2.55
Bi: 0.0000 0.0000 0.0000  8 Co 3.22, 8 Hf 3.29

(3)
The following is a DFT calculation (SCAN) of a PBEsol-optimized structure of Hf2CoBi.

Output
The calculation puts the density of states at the Fermi level at 0.658 states/eV/atom. Its formation enthalpy at 0 K is 0.078 eV per atom. Its mass density is 12.8 g/cm3.

a = 5.8457 Å, b = 6.0305 Å, c = 6.0305 Å
α = 76.41°, β = 61.01°, γ = 61.01°
Closest atoms and distances in Å follow each position.
Sites, in units of the cell vectors:
Bi: 0.0000 0.0000 0.0000  2 Co 2.92, 8 Hf 3.11-3.18
Hf: 0.3750 0.4315 0.0685  2 Co 2.42
Hf: 0.5565 0.0685 0.5685  2 Co 2.42
Co: 0.2500 0.5000 0.5000  4 Hf 2.42
Co: 0.5000 0.0000 0.0000  4 Hf 2.42
Hf: 0.8750 0.5685 0.9315  2 Co 2.42
Bi: 0.7500 0.5000 0.5000  2 Co 2.92, 8 Hf 3.11-3.18
Hf: 0.1935 0.9315 0.4315  2 Co 2.42

(4)
The following is a DFT calculation (SCAN) of a PBEsol-optimized structure of Hf6CoBi2.

Output
The calculation puts the density of states at the Fermi level at 0.551 states/eV/atom. Its formation enthalpy at 0 K is -0.304 eV per atom. Its mass density is 13.8 g/cm3.

a = 3.5673 Å, b = 7.7676 Å, c = 7.7676 Å
α = 120.00°, β = 90.00°, γ = 90.00°
Closest atoms and distances in Å follow each position.
Sites, in units of the cell vectors:
Hf: 0.5000 0.0000 0.6129  4 Bi 3.00, 1 Co 3.01, 4 Hf 3.17
Hf: 0.0000 0.2348 0.0000  2 Co 2.55
Hf: 0.0000 0.7652 0.7652  2 Co 2.55
Bi: 0.0000 0.3333 0.6667  9 Hf 3.00-3.04
Bi: 0.0000 0.6667 0.3333  9 Hf 3.00-3.04
Hf: 0.0000 0.0000 0.2348  2 Co 2.55
Hf: 0.5000 0.3871 0.3871  4 Bi 3.00, 1 Co 3.01, 4 Hf 3.17
Hf: 0.5000 0.6129 0.0000  4 Bi 3.00, 1 Co 3.01, 4 Hf 3.17
Co: 0.5000 0.0000 0.0000  6 Hf 2.55

The lowest mass density belongs to which entry?
YCoBiH2